DFT (PBE) results for Pm5Er after structural relaxation.

The value obtained for the raw total energy is -4.705 eV/atom. As for the formation enthalpy at 0 K: 0.014 eV/atom. Its density is 7.329 g/cm³.

The structure belongs to space group Pmmn (No. 59, origin choice 2); the cell edges are 5.128, 10.866 and 7.256 Å and the angles 90.00°, 90.00° and 90.00°. The distinct sites, in fractional coordinates, are Pm at (0.250, 0.083, 0.124), Pm at (0.250, 0.085, 0.626), Pm at (0.250, 0.750, 0.626) and Er at (0.250, 0.750, 0.123).


DFT (PBE) results for Pm3Er after structural relaxation.

The value obtained for the raw total energy is -4.568 eV/atom. As for the formation enthalpy at 0 K: 0.136 eV/atom. Its density is 7.436 g/cm³.

The structure belongs to space group Fm-3m (No. 225); the cell edges are 8.133, 8.133 and 8.133 Å and the angles 90.00°, 90.00° and 90.00°. The distinct sites, in fractional coordinates, are Pm at (0.000, 0.000, 0.000), Pm at (0.250, 0.250, 0.250) and Er at (0.000, 0.000, 0.500).


DFT (PBE) results for Pm2Er after structural relaxation.

The value obtained for the raw total energy is -4.665 eV/atom. As for the formation enthalpy at 0 K: 0.023 eV/atom. Its density is 7.635 g/cm³.

The structure belongs to space group C2/m (No. 12); the cell edges are 6.271, 3.623 and 9.002 Å and the angles 90.00°, 103.49° and 90.00°. The distinct sites, in fractional coordinates, are Pm at (0.224, 0.000, 0.172) and Er at (0.000, 0.000, 0.500).


DFT (PBE) results for Pm2Er17 after structural relaxation.

The value obtained for the raw total energy is -4.301 eV/atom. As for the formation enthalpy at 0 K: 0.282 eV/atom. Its density is 8.353 g/cm³.

The structure belongs to space group R-3m (No. 166, hexagonal axes); the cell edges are 11.1505, 11.1505 and 17.3560 Å and the angles 90.00°, 90.00° and 120.00°. The distinct sites, in fractional coordinates, are Pm at (0.0000, 0.0000, 0.1727), Er at (0.0000, 0.0000, 0.4016), Er at (0.0000, 0.2984, 0.5000), Er at (0.0000, 0.5000, 0.0000) and Er at (0.0091, 0.5046, 0.6386).


DFT (PBE) results for Pm5Er3 after structural relaxation.

The value obtained for the raw total energy is -4.659 eV/atom. As for the formation enthalpy at 0 K: 0.021 eV/atom. Its density is 7.734 g/cm³.

The structure belongs to space group P4/mmm (No. 123); the cell edges are 3.602, 3.602 and 20.307 Å and the angles 90.00°, 90.00° and 90.00°. The distinct sites, in fractional coordinates, are Pm at (0.000, 0.000, 0.000), Pm at (0.000, 0.000, 0.248), Pm at (0.500, 0.500, 0.376), Er at (0.000, 0.000, 0.500) and Er at (0.500, 0.500, 0.123).


DFT (PBE) results for PmEr8 after structural relaxation.

The value obtained for the raw total energy is -4.560 eV/atom. As for the formation enthalpy at 0 K: 0.023 eV/atom. Its density is 8.865 g/cm³.

The structure belongs to space group I4/mmm (No. 139); the cell edges are 10.573, 10.573 and 4.970 Å and the angles 90.00°, 90.00° and 90.00°. The distinct sites, in fractional coordinates, are Pm at (0.000, 0.000, 0.000), Er at (0.000, 0.334, 0.000) and Er at (0.167, 0.167, 0.500).


DFT (PBE) results for Pm3Er after structural relaxation.

The value obtained for the raw total energy is -4.687 eV/atom. As for the formation enthalpy at 0 K: 0.016 eV/atom. Its density is 7.500 g/cm³.

The structure belongs to space group Pm-3m (No. 221); the cell edges are 5.109, 5.109 and 5.109 Å and the angles 90.00°, 90.00° and 90.00°. The distinct sites, in fractional coordinates, are Pm at (0.000, 0.000, 0.500) and Er at (0.500, 0.500, 0.500).


DFT (PBE) results for Pm6Er after structural relaxation.

The value obtained for the raw total energy is -3.420 eV/atom. As for the formation enthalpy at 0 K: 1.304 eV/atom. Its density is 6.455 g/cm³.

The structure belongs to space group Im-3m (No. 229); the cell edges are 8.111, 8.111 and 8.111 Å and the angles 90.00°, 90.00° and 90.00°. The distinct sites, in fractional coordinates, are Pm at (0.000, 0.250, 0.500) and Er at (0.000, 0.000, 0.000).


DFT (PBE) results for PmEr6 after structural relaxation.

The value obtained for the raw total energy is -3.109 eV/atom. As for the formation enthalpy at 0 K: 1.481 eV/atom. Its density is 7.281 g/cm³.

The structure belongs to space group Im-3m (No. 229); the cell edges are 8.061, 8.061 and 8.061 Å and the angles 90.00°, 90.00° and 90.00°. The distinct sites, in fractional coordinates, are Pm at (0.000, 0.000, 0.000) and Er at (0.000, 0.250, 0.500).


DFT (PBE) results for Pm2Er7 after structural relaxation.

The value obtained for the raw total energy is -4.582 eV/atom. As for the formation enthalpy at 0 K: 0.023 eV/atom. Its density is 8.618 g/cm³.

The structure belongs to space group P-31m (No. 162); the cell edges are 6.1265, 6.1265 and 8.6594 Å and the angles 90.00°, 90.00° and 120.00°. The distinct sites, in fractional coordinates, are Pm at (0.3333, 0.6667, 0.0000), Er at (0.0000, 0.0000, 0.0000) and Er at (0.0000, 0.3325, 0.6640).


DFT (PBE) results for Pm13Er2 after structural relaxation.

The value obtained for the raw total energy is -4.582 eV/atom. As for the formation enthalpy at 0 K: 0.144 eV/atom. Its density is 7.082 g/cm³.

The structure belongs to space group R-3m (No. 166, hexagonal axes); the cell edges are 7.1647, 7.1647 and 35.1193 Å and the angles 90.00°, 90.00° and 120.00°. The distinct sites, in fractional coordinates, are Pm at (0.0000, 0.0000, 0.0000), Pm at (0.0025, 0.5012, 0.7906), Pm at (0.0027, 0.5014, 0.9548) and Er at (0.0000, 0.0000, 0.2063).


DFT (PBE) results for Pm7Pr3Er after structural relaxation.

The value obtained for the raw total energy is -4.513 eV/atom. As for the formation enthalpy at 0 K: 0.228 eV/atom. Its density is 6.744 g/cm³.

The structure belongs to space group P-1 (No. 2); the cell edges are 6.526, 7.825 and 7.835 Å and the angles 82.08°, 86.66° and 86.74°. The distinct sites, in fractional coordinates, are Pm at (0.000, 0.000, 0.000), Pm at (0.215, 0.259, 0.259), Pm at (0.262, 0.587, 0.930), Pm at (0.262, 0.930, 0.587), Pr at (0.000, 0.327, 0.673), Pr at (0.500, 0.500, 0.500) and Er at (0.500, 0.000, 0.000).